The following is a PBE+U calculation of a relaxed structure of MgVCrF6, from Alexandria via LeMat-Bulk.

Results
V ... 12.06 A^3/atom
Calculated total energy ... -5.715 eV/atom

POSCAR file:
```
MgVCrF6
1.0
5.269 0.000 0.000
-2.634 4.563 0.000
0.000 0.000 9.028
Mg V Cr F
2 2 2 12
direct
0.000 0.000 0.000
0.000 0.000 0.500
0.333 0.667 0.250
0.667 0.333 0.750
0.667 0.333 0.250
0.333 0.667 0.750
0.680 0.674 0.126
0.994 0.320 0.126
0.320 0.994 0.626
0.006 0.680 0.874
0.326 0.320 0.374
0.994 0.674 0.374
0.674 0.994 0.874
0.680 0.006 0.374
0.006 0.326 0.626
0.326 0.006 0.126
0.674 0.680 0.626
0.320 0.326 0.874
```